## NaCo2TcAu (PBE-GGA)

Data for NaCo2TcAu after structural relaxation.

Lattice parameters (Å, degrees): 4.365 4.365 5.165 90.00 90.00 90.00
Atoms (fractional coordinates):
Na 0.000 0.000 0.000
Co 0.000 0.500 0.500
Co 0.500 0.000 0.500
Tc 0.000 0.000 0.500
Au 0.500 0.500 0.000

* size of the total moment: 1.32 Bohr magnetons per cell
* final energy: -4.44 eV per atom
* DOS(E_F): 7.3 states/eV/f.u.